MoAsSe2: optimized geometry, PBEsol.

Structure (extended XYZ):
```
4
Lattice="-1.500 -2.026 3.793 -0.096 -4.545 0.269 2.925 -2.183 2.725" Properties=species:S:1:pos:R:3 pbc="T T T"
Mo 0.332 -2.188 1.697
As 0.664 -4.377 3.394
Se 0.000 0.000 0.000
Se 0.996 -6.565 5.090
```

Summary:
* N(E_F): 1.7 states/eV/cell
* E_form (uncorrected): 0.428 eV per atom
* calculated total energy: -5.7159 eV per atom
* total magnetic moment: 0.00 μB per cell